# 1
! PBE RbLiTe3As, relaxed; values from VASP
&SYSTEM
  ibrav = 0, nat = 12, ntyp = 4
/
ATOMIC_SPECIES
Rb 85.47 Rb.upf
Li 6.94 Li.upf
Te 127.60 Te.upf
As 74.92 As.upf
ATOMIC_POSITIONS crystal
Rb 0.7500 0.2692 0.5384
Rb 0.2500 0.7308 0.4616
Li 0.2500 0.4092 0.8184
Li 0.7500 0.5908 0.1816
Te 0.2500 0.2233 0.4466
Te 0.0000 0.2731 0.0000
Te 0.5000 0.7269 0.0000
Te 0.5000 0.2731 0.0000
Te 0.0000 0.7269 0.0000
Te 0.7500 0.7767 0.5534
As 0.2500 0.0508 0.1016
As 0.7500 0.9492 0.8984
CELL_PARAMETERS angstrom
7.4257 0.0000 0.0000
0.0000 7.6022 0.0000
0.0000 -3.8011 7.5052
! Fermi-level density of states in states/eV/cell: 2.2
! SG: No. 63
! Theoretical density in g/cm³: 4.3
! Formation energy (no corrections) in eV per atom: -0.46

# 2
! PBE PuPaPt2, relaxed; values from VASP
&SYSTEM
  ibrav = 0, nat = 4, ntyp = 3
/
ATOMIC_SPECIES
Pu 244.00 Pu.upf
Pa 231.04 Pa.upf
Pt 195.08 Pt.upf
ATOMIC_POSITIONS crystal
Pu 0.8813 0.0354 0.7627
Pa 0.1314 0.7856 0.2627
Pt 0.3814 0.5356 0.7628
Pt 0.6313 0.2854 0.2626
CELL_PARAMETERS angstrom
1.1289 2.8065 -3.6935
-0.0075 -3.8005 -2.8901
-3.8409 0.9838 2.6591
! Fermi-level density of states in states/eV/cell: 3.9
! SG: No. 216
! Distance to the lowest polymorph of the same formula in meV per atom: 0
! Theoretical density in g/cm³: 18.7
! Calculated formation energy in eV per atom: -0.93

# 3
! PBE Cd3Pt, relaxed; values from VASP
&SYSTEM
  ibrav = 0, nat = 4, ntyp = 2
/
ATOMIC_SPECIES
Pt 195.08 Pt.upf
Cd 112.41 Cd.upf
ATOMIC_POSITIONS crystal
Pt 0.5000 0.5000 0.0000
Cd 0.0000 0.0000 0.0000
Cd 0.0000 0.5000 0.5000
Cd 0.5000 0.0000 0.5000
CELL_PARAMETERS angstrom
-3.7609 3.3212 -0.5484
0.3701 -0.7220 4.9817
2.0466 2.3487 0.1883
! Fermi-level density of states in states/eV/cell: 1.1
! SG: No. 65
! Theoretical density in g/cm³: 11.5
! Calculated formation energy in eV per atom: -0.12